The following is a GGA-PBEsol calculation of a relaxed K5Au crystal, from Alexandria via LeMat-Bulk.

Computed properties:
ΔE to the lowest computed polymorph in meV per atom: 2.7
Energy of formation from the pure elements in eV/atom: -0.032

Cell and atoms, written as CIF:
```
data_K5Au
_cell_length_a 15.225
_cell_length_b 4.243
_cell_length_c 11.040
_cell_angle_alpha 90.00
_cell_angle_beta 116.81
_cell_angle_gamma 90.00
_symmetry_space_group_name_H-M 'C 1 m 1'
_symmetry_Int_Tables_number 8
loop_
_symmetry_equiv_pos_as_xyz
'x,y,z'
'x,-y,z'
'x+1/2,y+1/2,z'
'x+1/2,-y+1/2,z'
loop_
_atom_site_label
_atom_site_fract_x
_atom_site_fract_y
_atom_site_fract_z
K1 0.000 0.000 0.000
K2 0.050 0.000 0.375
K3 0.165 0.500 0.763
K4 0.280 0.000 0.152
K5 0.330 0.000 0.526
Au1 0.165 0.500 0.263
```


The following is a GGA-PBEsol calculation of a relaxed Fe3Co5 crystal, from Alexandria via LeMat-Bulk.

Computed properties:
Energy of formation from the pure elements in eV/atom: 0.026

Cell and atoms, written as CIF:
```
data_Fe3Co5
_cell_length_a 5.578
_cell_length_b 5.578
_cell_length_c 5.578
_cell_angle_alpha 90.00
_cell_angle_beta 90.00
_cell_angle_gamma 90.00
_symmetry_space_group_name_H-M 'I m -3 m'
_symmetry_Int_Tables_number 229
_symmetry_space_group_name_Hall '-I 4 2 3'
loop_
_atom_site_label
_atom_site_fract_x
_atom_site_fract_y
_atom_site_fract_z
Fe1 0.000 0.000 0.500
Co1 0.000 0.000 0.000
Co2 0.250 0.250 0.250
```


The following is a GGA-PBEsol calculation of a relaxed HfTe3O crystal, from Alexandria via LeMat-Bulk.

Computed properties:
Formation energy from raw total energies in eV per formula unit: 2.3

Cell and atoms, written as CIF:
```
data_HfTe3O
_cell_length_a 5.439
_cell_length_b 5.439
_cell_length_c 5.439
_cell_angle_alpha 90.00
_cell_angle_beta 90.00
_cell_angle_gamma 90.00
_symmetry_space_group_name_H-M 'P m -3 m'
_symmetry_Int_Tables_number 221
_symmetry_space_group_name_Hall '-P 4 2 3'
loop_
_atom_site_label
_atom_site_fract_x
_atom_site_fract_y
_atom_site_fract_z
Hf1 0.000 0.000 0.000
Te1 0.000 0.000 0.500
O1 0.500 0.500 0.500
```


Number 1: ρ 2.05 g/cm3. Number 2: ρ 8.85 g/cm3. Number 3: ρ 5.96 g/cm3.